(1)
{
  "formula": "LiMnPt",
  "functional": "PBE",
  "state": "relaxed",
  "lattice_angstrom": [[4.749, -1.456, 0.000], [4.749, 1.456, 0.000], [-1.317, 0.000, 5.614]],
  "species": ["Li", "Li", "Mn", "Mn", "Pt", "Pt"],
  "fractional_positions": [[0.000, 0.000, 0.000], [0.619, 0.619, 0.780], [0.319, 0.319, 0.645], [0.914, 0.914, 0.467], [0.305, 0.305, 0.078], [0.625, 0.625, 0.354]],
  "vol_a3_per_cell": 77.6,
  "dos_at_fermi_per_ev_cell": 4.1
}


(2)
{
  "formula": "LiMnPt",
  "functional": "PBE",
  "state": "relaxed",
  "lattice_angstrom": [[2.680, 0.000, 0.000], [1.340, 4.559, 0.000], [1.338, 1.021, 6.390]],
  "species": ["Li", "Li", "Mn", "Mn", "Pt", "Pt"],
  "fractional_positions": [[0.173, 0.484, 0.170], [0.827, 0.516, 0.830], [0.163, 0.035, 0.641], [0.837, 0.965, 0.359], [0.500, 0.000, 0.000], [0.500, 0.500, 0.500]],
  "vol_a3_per_cell": 78.1,
  "dos_at_fermi_per_ev_cell": 7.0
}


We find (2) to be the most stable, with the next structure 83 meV/atom higher.


(1)
{
  "formula": "LiMnPt",
  "functional": "PBE",
  "state": "relaxed",
  "lattice_angstrom": [[2.660, 0.000, 0.000], [0.000, 3.843, 0.000], [0.000, 0.000, 7.457]],
  "species": ["Li", "Li", "Mn", "Mn", "Pt", "Pt"],
  "fractional_positions": [[0.000, 0.000, 0.000], [0.500, 0.500, 0.500], [0.000, 0.000, 0.366], [0.000, 0.000, 0.634], [0.500, 0.500, 0.186], [0.500, 0.500, 0.814]],
  "vol_a3_per_cell": 76.2,
  "dos_at_fermi_per_ev_cell": 5.7
}


(2)
{
  "formula": "LiMnPt",
  "functional": "PBE",
  "state": "relaxed",
  "lattice_angstrom": [[5.276, 0.000, 0.000], [0.000, 2.735, 0.000], [0.000, 0.000, 11.654]],
  "species": ["Li", "Li", "Li", "Li", "Mn", "Mn", "Mn", "Mn", "Pt", "Pt", "Pt", "Pt"],
  "fractional_positions": [[0.131, 0.250, 0.246], [0.369, 0.750, 0.746], [0.631, 0.250, 0.254], [0.869, 0.750, 0.754], [0.121, 0.250, 0.947], [0.379, 0.750, 0.447], [0.621, 0.250, 0.553], [0.879, 0.750, 0.053], [0.117, 0.250, 0.591], [0.383, 0.750, 0.091], [0.617, 0.250, 0.909], [0.883, 0.750, 0.409]],
  "vol_a3_per_cell": 168.1,
  "dos_at_fermi_per_ev_cell": 11.0
}


We find (1) to be the most stable, with the next structure 60 meV/atom higher.


(1)
{
  "formula": "Li2MnPt2",
  "functional": "PBE",
  "state": "relaxed",
  "lattice_angstrom": [[4.298, 0.000, 0.000], [2.130, 3.767, 0.000], [2.108, 1.170, 4.262]],
  "species": ["Li", "Li", "Mn", "Pt", "Pt"],
  "fractional_positions": [[0.090, 0.091, 0.231], [0.910, 0.909, 0.769], [0.500, 0.500, 0.000], [0.285, 0.285, 0.644], [0.715, 0.715, 0.356]],
  "vol_a3_per_cell": 69.0,
  "dos_at_fermi_per_ev_cell": 1.7
}


(2)
{
  "formula": "Li2MnPt2",
  "functional": "PBE",
  "state": "relaxed",
  "lattice_angstrom": [[7.108, 0.000, 0.000], [0.000, 7.108, 0.000], [0.000, 0.000, 2.696]],
  "species": ["Li", "Li", "Li", "Li", "Mn", "Mn", "Pt", "Pt", "Pt", "Pt"],
  "fractional_positions": [[0.118, 0.382, 0.000], [0.382, 0.882, 0.000], [0.618, 0.118, 0.000], [0.882, 0.618, 0.000], [0.000, 0.000, 0.500], [0.500, 0.500, 0.500], [0.181, 0.681, 0.500], [0.319, 0.181, 0.500], [0.681, 0.819, 0.500], [0.819, 0.319, 0.500]],
  "vol_a3_per_cell": 136.2,
  "dos_at_fermi_per_ev_cell": 14.0
}


We find (1) to be the most stable, with the next structure 366 meV/atom higher.


(1)
{
  "formula": "RbLiMn3",
  "functional": "PBE",
  "state": "relaxed",
  "lattice_angstrom": [[5.773, 0.000, 0.000], [0.000, 5.773, 0.000], [0.000, 0.000, 5.773]],
  "species": ["Rb", "Li", "Mn", "Mn", "Mn"],
  "fractional_positions": [[0.000, 0.000, 0.000], [0.500, 0.500, 0.500], [0.000, 0.000, 0.500], [0.000, 0.500, 0.000], [0.500, 0.000, 0.000]],
  "vol_a3_per_cell": 192.4,
  "dos_at_fermi_per_ev_cell": 11.8
}


(2)
{
  "formula": "RbLiMn3",
  "functional": "PBE",
  "state": "relaxed",
  "lattice_angstrom": [[5.028, 0.000, 0.000], [0.000, 5.028, 0.000], [0.000, 0.000, 5.028]],
  "species": ["Rb", "Li", "Mn", "Mn", "Mn"],
  "fractional_positions": [[0.000, 0.000, 0.000], [0.500, 0.500, 0.500], [0.000, 0.500, 0.500], [0.500, 0.000, 0.500], [0.500, 0.500, 0.000]],
  "vol_a3_per_cell": 127.1,
  "dos_at_fermi_per_ev_cell": 4.0
}


We find (2) to be the most stable, with the next structure 908 meV/atom higher.